1.
A plane-wave DFT calculation with PBE was carried out for crystalline Ce2Sn3Au4 at its relaxed geometry.

Values from the calculation:
**Space group**: Cmce (64)
**Total magnetization**: 2.1 μB/f.u.
**Density of states at the Fermi level**: 31.76 states/eV/cell
**Calculated formation energy**: -46.60 kJ per mole of atoms
**Calculated total energy**: -4.59 eV/atom

Cell: 8.702 8.702 8.431 Å, 90.00 90.00 137.70°
Sites, in units of the cell vectors:
Ce (0.114, 0.886, 0.914)
Ce (0.386, 0.614, 0.414)
Ce (0.614, 0.386, 0.586)
Ce (0.886, 0.114, 0.086)
Sn (0.000, 0.000, 0.500)
Sn (0.036, 0.464, 0.750)
Sn (0.464, 0.036, 0.250)
Sn (0.500, 0.500, 0.000)
Sn (0.536, 0.964, 0.750)
Sn (0.964, 0.536, 0.250)
Au (0.178, 0.822, 0.551)
Au (0.208, 0.292, 0.750)
Au (0.292, 0.208, 0.250)
Au (0.322, 0.678, 0.051)
Au (0.678, 0.322, 0.949)
Au (0.708, 0.792, 0.750)
Au (0.792, 0.708, 0.250)
Au (0.822, 0.178, 0.449)



2.
A plane-wave DFT calculation with PBE was carried out for crystalline PmTl2S3 at its relaxed geometry.

Values from the calculation:
**Space group**: Cmcm (63)
**Total magnetization**: 0.0 μB/f.u.
**Density of states at the Fermi level**: 6.21 states/eV/cell
**Formation energy from raw total energies**: -250 kJ/mol of formula units
**Calculated total energy**: -4.08 eV/atom

Cell: 8.198 8.198 5.787 Å, 90.00 90.00 86.69°
Sites, in units of the cell vectors:
Pm (0.106, 0.894, 0.750)
Pm (0.894, 0.106, 0.250)
Tl (0.335, 0.335, 0.000)
Tl (0.335, 0.335, 0.500)
Tl (0.665, 0.665, 0.000)
Tl (0.665, 0.665, 0.500)
S (0.034, 0.215, 0.750)
S (0.215, 0.034, 0.250)
S (0.350, 0.650, 0.250)
S (0.650, 0.350, 0.750)
S (0.785, 0.966, 0.750)
S (0.966, 0.785, 0.250)



3.
A plane-wave DFT calculation with PBE was carried out for crystalline TbNdDyN3 at its relaxed geometry.

Values from the calculation:
**Space group**: P2_1/m (11)
**Total magnetization**: 0.0 μB/f.u.
**Formation energy from raw total energies**: -806 kJ/mol of formula units
**Calculated total energy**: -7.89 eV/atom

Cell: 6.068 3.522 9.133 Å, 90.00 101.68 90.00°
Sites, in units of the cell vectors:
Tb (0.231, 0.250, 0.455)
Tb (0.769, 0.750, 0.545)
Nd (0.344, 0.750, 0.802)
Nd (0.656, 0.250, 0.198)
Dy (0.151, 0.750, 0.140)
Dy (0.849, 0.250, 0.860)
N (0.035, 0.250, 0.654)
N (0.246, 0.250, 0.007)
N (0.461, 0.750, 0.332)
N (0.539, 0.250, 0.668)
N (0.754, 0.750, 0.993)
N (0.965, 0.750, 0.346)



4.
A plane-wave DFT calculation with PBE was carried out for crystalline GaAg2Br6 at its relaxed geometry.

Values from the calculation:
**Space group**: C2/c (15)
**Total magnetization**: 0.0 μB/f.u.
**Density of states at the Fermi level**: 22.56 states/eV/cell
**Formation energy from raw total energies**: -410 kJ/mol of formula units
**Calculated total energy**: -2.56 eV/atom

Cell: 10.252 10.252 7.488 Å, 111.32 111.32 80.87°
Sites, in units of the cell vectors:
Ga (0.243, 0.757, 0.750)
Ga (0.757, 0.243, 0.250)
Ag (0.204, 0.313, 0.524)
Ag (0.313, 0.204, 0.024)
Ag (0.687, 0.796, 0.976)
Ag (0.796, 0.687, 0.476)
Br (0.043, 0.764, 0.466)
Br (0.150, 0.373, 0.202)
Br (0.236, 0.957, 0.034)
Br (0.255, 0.562, 0.856)
Br (0.373, 0.150, 0.702)
Br (0.438, 0.745, 0.644)
Br (0.562, 0.255, 0.356)
Br (0.627, 0.850, 0.298)
Br (0.745, 0.438, 0.144)
Br (0.764, 0.043, 0.966)
Br (0.850, 0.627, 0.798)
Br (0.957, 0.236, 0.534)



5.
A plane-wave DFT calculation with PBE was carried out for crystalline K3Li2Te4 at its relaxed geometry.

Values from the calculation:
**Space group**: C2/c (15)
**Total magnetization**: 0.0 μB/f.u.
**Density of states at the Fermi level**: 11.54 states/eV/cell
**Formation energy from raw total energies**: -660 kJ/mol of formula units
**Calculated total energy**: -2.95 eV/atom

Cell: 10.099 10.099 6.547 Å, 97.28 97.28 68.69°
Sites, in units of the cell vectors:
K (0.089, 0.911, 0.750)
K (0.267, 0.495, 0.947)
K (0.495, 0.267, 0.447)
K (0.505, 0.733, 0.553)
K (0.733, 0.505, 0.053)
K (0.911, 0.089, 0.250)
Li (0.082, 0.356, 0.349)
Li (0.356, 0.082, 0.849)
Li (0.644, 0.918, 0.151)
Li (0.918, 0.644, 0.651)
Te (0.067, 0.259, 0.905)
Te (0.167, 0.592, 0.437)
Te (0.259, 0.067, 0.405)
Te (0.408, 0.833, 0.063)
Te (0.592, 0.167, 0.937)
Te (0.741, 0.933, 0.595)
Te (0.833, 0.408, 0.563)
Te (0.933, 0.741, 0.095)



6.
A plane-wave DFT calculation with PBE was carried out for crystalline Li2ScMn at its relaxed geometry.

Values from the calculation:
**Space group**: I-4m2 (119)
**Total magnetization**: 3.0 μB/f.u.
**Density of states at the Fermi level**: 3.39 states/eV/cell
**Calculated formation energy**: 29.69 kJ per mole of atoms
**Calculated total energy**: -4.52 eV/atom

Cell: 4.682 4.682 4.682 Å, 120.71 120.71 88.78°
Sites, in units of the cell vectors:
Li (0.000, 0.000, 0.000)
Li (0.750, 0.250, 0.500)
Sc (0.500, 0.500, 0.000)
Mn (0.250, 0.750, 0.500)



> Among the records above, which one has the highest total magnetization?

Li2ScMn



> Among the records above, which one has the highest total magnetization?

Li2ScMn



> Which value of total magnetization does entry 4 give?

0.0 μB/f.u.